VASP calculation (PBE) on a relaxed Ba2CaAlSb crystal.

Results
Crystal system ... tetragonal
Total magnetic moment ... 0.00 μB/cell
ΔE_f (raw) ... 0.50 eV per atom
Total DFT energy (no corrections) ... -2.240 eV/atom

a = 6.446 Å, b = 5.444 Å, c = 6.446 Å
α = 90.00°, β = 90.00°, γ = 90.00°
Sites, in units of the cell vectors:
Sb 0.500 0.500 0.500
Ca 0.000 0.000 0.000
Ba 0.000 0.000 0.500
Ba 0.500 0.000 0.000
Al 0.000 0.500 0.000